(1)
{
  "formula": "NaCrHg2P",
  "functional": "PBE",
  "state": "relaxed",
  "mass_density_g_cm3": 5.95,
  "e_form_mev_per_atom": 954.5,
  "cell": [[5.257, 0.000, 0.000], [0.000, 5.257, 0.000], [0.000, 0.000, 5.125]],
  "species": ["Na", "Cr", "Hg", "Hg", "P"],
  "frac_coords": [[0.000, 0.000, 0.000], [0.500, 0.500, 0.500], [0.000, 0.500, 0.000], [0.500, 0.000, 0.000], [0.000, 0.000, 0.500]]
}

***

(2)
{
  "formula": "Ti6Sb2Mo",
  "functional": "PBE",
  "state": "relaxed",
  "formation_energy_uncorrected_kj_per_mol_atoms": -26.4,
  "mass_density_g_cm3": 6.30,
  "cell": [[3.472, 0.000, 0.000], [0.000, 6.422, 3.703], [0.000, -6.422, 3.703]],
  "species": ["Ti", "Ti", "Ti", "Ti", "Ti", "Ti", "Sb", "Sb", "Mo"],
  "frac_coords": [[0.000, 0.000, 0.000], [0.000, 0.500, 0.751], [0.000, 0.751, 0.500], [0.500, 0.145, 0.750], [0.500, 0.356, 0.356], [0.500, 0.750, 0.145], [0.000, 0.084, 0.417], [0.000, 0.417, 0.084], [0.500, 0.749, 0.749]]
}

***

(3)
{
  "formula": "Ta5Nb2Ir",
  "functional": "PBE",
  "state": "relaxed",
  "mass_density_g_cm3": 14.99,
  "e_form_mev_per_atom": -143.3,
  "cell": [[5.569, 0.000, 0.000], [0.000, 10.944, 0.000], [0.000, 0.000, 4.664]],
  "species": ["Ta", "Ta", "Ta", "Ta", "Ta", "Ta", "Ta", "Ta", "Ta", "Ta", "Nb", "Nb", "Nb", "Nb", "Ir", "Ir"],
  "frac_coords": [[0.000, 0.000, 0.000], [0.140, 0.253, 0.000], [0.163, 0.614, 0.500], [0.337, 0.114, 0.500], [0.360, 0.753, 0.000], [0.500, 0.500, 0.000], [0.640, 0.247, 0.000], [0.663, 0.886, 0.500], [0.837, 0.386, 0.500], [0.860, 0.747, 0.000], [0.163, 0.873, 0.500], [0.337, 0.373, 0.500], [0.663, 0.627, 0.500], [0.837, 0.127, 0.500], [0.000, 0.500, 0.000], [0.500, 0.000, 0.000]]
}

***

(4)
{
  "formula": "KTe2Au2",
  "functional": "PBE",
  "state": "relaxed",
  "formation_energy_uncorrected_kj_per_mol_atoms": -19.4,
  "de_polymorph_ev_per_fu": 0.99,
  "mass_density_g_cm3": 8.81,
  "cell": [[8.412, 0.000, 0.000], [0.000, 8.412, 0.000], [0.000, 0.000, 3.668]],
  "species": ["K", "K", "Te", "Te", "Te", "Te", "Au", "Au", "Au", "Au"],
  "frac_coords": [[0.000, 0.000, 0.000], [0.500, 0.500, 0.000], [0.194, 0.306, 0.500], [0.306, 0.806, 0.500], [0.694, 0.194, 0.500], [0.806, 0.694, 0.500], [0.117, 0.617, 0.000], [0.383, 0.117, 0.000], [0.617, 0.883, 0.000], [0.883, 0.383, 0.000]]
}